This record from Alexandria describes an optimized crystal structure of PmPrEr3. The functional is GGA-PBE.

a b c (Å): 8.7596 8.7596 9.8014
angles (deg): 94.98 94.98 117.88
With the nearest neighbours (Å) after each atom.
Positions (direct):
1 Pm 0.0161 0.9839 0.7500  4 Pr 3.33-3.37, 4 Er 3.62-3.65
2 Pm 0.4049 0.5951 0.2500  8 Er 3.45-3.72, 2 Pr 3.58
3 Pm 0.5951 0.4049 0.7500  8 Er 3.45-3.72, 2 Pr 3.58
4 Pm 0.9839 0.0161 0.2500  4 Pr 3.33-3.37, 4 Er 3.62-3.65
5 Pr 0.1898 0.2902 0.5419  6 Er 3.30-3.66, 3 Pm 3.33-3.58
6 Pr 0.2902 0.1898 0.0419  6 Er 3.30-3.66, 3 Pm 3.33-3.58
7 Pr 0.7098 0.8102 0.9581  6 Er 3.30-3.66, 3 Pm 3.33-3.58
8 Pr 0.8102 0.7098 0.4581  6 Er 3.30-3.66, 3 Pm 3.33-3.58
9 Er 0.0266 0.5765 0.6852  2 Er 3.22-3.60, 1 Pr 3.42, 1 Pm 3.50
10 Er 0.1210 0.7377 0.0571  8 Er 3.41-3.78, 1 Pr 3.54, 2 Pm 3.65-3.72
11 Er 0.2623 0.8790 0.4429  8 Er 3.41-3.78, 1 Pr 3.54, 2 Pm 3.65-3.72
12 Er 0.2964 0.5079 0.8805  4 Er 3.22-3.49, 3 Pr 3.30-3.50, 2 Pm 3.45-3.58
13 Er 0.4235 0.9734 0.8148  2 Er 3.22-3.60, 1 Pr 3.42, 1 Pm 3.50
14 Er 0.4921 0.7036 0.6195  4 Er 3.22-3.49, 3 Pr 3.30-3.50, 2 Pm 3.45-3.58
15 Er 0.5079 0.2964 0.3805  4 Er 3.22-3.49, 3 Pr 3.30-3.50, 2 Pm 3.45-3.58
16 Er 0.5765 0.0266 0.1852  2 Er 3.22-3.60, 1 Pr 3.42, 1 Pm 3.50
17 Er 0.7036 0.4921 0.1195  4 Er 3.22-3.49, 3 Pr 3.30-3.50, 2 Pm 3.45-3.58
18 Er 0.7377 0.1210 0.5571  8 Er 3.41-3.78, 1 Pr 3.54, 2 Pm 3.65-3.72
19 Er 0.8790 0.2623 0.9429  8 Er 3.41-3.78, 1 Pr 3.54, 2 Pm 3.65-3.72
20 Er 0.9734 0.4235 0.3148  2 Er 3.22-3.60, 1 Pr 3.42, 1 Pm 3.50

Summary:
The distance to the lowest polymorph of the same formula is 105 meV/atom. The uncorrected energy is -4.5217 eV/atom. For the density of states at the Fermi level, the calculation gives 29.2 states/eV per cell.